[1]
GGA-PBE Ac3SmP4, optimized geometry; energy = -0.4615 Ry per atom; spin magnetization = 0.00 μB per cell; ΔE_f = -1.443 eV per atom
1.0
6.187 0.000 0.000
0.000 6.187 0.000
0.000 0.000 6.187
Ac P Sm
3 4 1
Cartesian
3.094 0.000 3.094
3.094 3.094 0.000
0.000 3.094 3.094
0.000 0.000 3.094
0.000 3.094 0.000
3.094 3.094 3.094
3.094 0.000 0.000
0.000 0.000 0.000

[2]
GGA-PBE AcSm5P6, optimized geometry; energy = -0.4810 Ry per atom; spin magnetization = 0.00 μB per cell; ΔE_f = -1.530 eV per atom
1.0
-5.923 0.986 -4.011
-1.938 -6.268 -3.022
-4.546 -4.422 3.454
P Sm Ac
6 5 1
Cartesian
-2.012 -1.364 -1.803
-4.183 -4.848 -1.570
-6.131 -1.317 -2.058
-8.225 -4.856 -2.009
-6.276 -8.386 -1.521
-5.849 -3.918 -5.230
-6.323 -3.502 -0.196
-3.931 -2.641 -3.517
-2.164 -3.564 0.148
-6.084 -6.201 -3.384
-4.320 -7.126 0.283
0.000 0.000 0.000

[3]
GGA-PBE AcSm2P, optimized geometry; energy = -0.3909 Ry per atom; spin magnetization = 0.00 μB per cell; ΔE_f = -0.580 eV per atom
1.0
-0.683 -3.515 1.550
2.906 -2.583 0.335
3.038 1.813 10.358
Sm P Ac
2 1 1
Cartesian
2.237 0.472 6.967
3.023 -4.758 5.277
2.630 -2.143 6.122
0.000 0.000 0.000

[4]
GGA-PBE Ac4SmP5, optimized geometry; energy = -0.4617 Ry per atom; spin magnetization = 0.00 μB per cell; ΔE_f = -1.462 eV per atom
1.0
5.595 0.000 2.699
2.797 6.930 1.349
-0.213 0.000 7.591
Ac P Sm
4 5 1
Cartesian
4.999 4.176 3.950
1.608 1.386 3.833
6.585 5.544 7.812
3.193 2.754 7.695
3.753 5.584 6.531
2.218 4.251 2.564
5.972 2.678 9.080
2.801 0.000 1.351
4.437 1.345 5.114
0.006 0.000 0.003

[5]
GGA-PBE AcSm3P4, optimized geometry; energy = -0.4778 Ry per atom; spin magnetization = 0.00 μB per cell; ΔE_f = -1.513 eV per atom
1.0
-2.149 2.269 2.760
2.555 -3.019 1.322
20.737 18.105 1.265
P Ac Sm
8 2 6
Cartesian
10.109 6.709 2.358
17.002 14.845 1.038
18.909 17.524 3.470
2.233 -0.168 1.877
3.734 3.261 0.228
14.103 12.313 0.861
11.033 10.647 2.989
6.634 5.792 0.405
6.171 3.270 2.117
14.971 14.085 3.230
10.368 9.053 0.633
13.846 9.971 2.586
1.909 2.681 2.433
19.233 14.674 2.915
0.000 0.000 0.000
7.296 7.384 2.761

[6]
GGA-PBE Ac2SmThP4, optimized geometry; energy = -0.4974 Ry per atom; spin magnetization = 0.00 μB per cell; ΔE_f = -1.518 eV per atom
1.0
4.271 0.000 0.000
0.000 7.449 -0.171
0.000 2.598 6.908
Th P Ac Sm
1 4 2 1
Cartesian
0.000 5.024 3.368
0.000 7.405 5.087
2.136 3.940 5.080
2.136 6.107 1.657
4.271 2.642 1.650
2.136 1.299 3.454
0.000 2.598 6.908
2.136 3.724 -0.086

[7]
GGA-PBE Ac4SmTh3P8, optimized geometry; energy = -0.5097 Ry per atom; spin magnetization = 0.00 μB per cell; ΔE_f = -1.517 eV per atom
1.0
8.534 0.000 0.000
0.000 8.594 0.036
-4.267 -4.263 6.037
Sm Ac P Th
1 4 8 3
Cartesian
0.000 4.297 0.018
4.267 0.000 0.000
2.133 -2.131 3.019
-2.133 -2.131 3.019
0.000 0.000 0.000
4.267 4.194 2.961
0.000 0.137 3.112
-2.124 2.069 5.978
4.267 0.140 3.101
2.143 2.262 0.096
0.000 4.191 2.972
2.124 2.069 5.978
6.391 2.262 0.096
2.133 2.165 3.037
4.267 4.297 0.018
-2.133 2.165 3.037

[8]
GGA-PBE AcSmTh2P4, optimized geometry; energy = -0.5281 Ry per atom; spin magnetization = 0.00 μB per cell; ΔE_f = -1.522 eV per atom
1.0
-0.285 -1.601 3.880
-1.808 -6.485 -2.809
6.039 -3.911 -1.171
P Th Sm Ac
4 2 1 1
Cartesian
0.869 -4.155 2.911
0.022 -6.710 -0.487
3.076 -7.842 -3.011
3.923 -5.288 0.386
2.877 -2.756 1.354
6.039 -3.911 -1.171
2.115 -5.198 -1.990
-1.047 -4.043 0.536

[9]
GGA-PBE Ac2SmTmP4, optimized geometry; energy = -0.4675 Ry per atom; spin magnetization = 0.00 μB per cell; ΔE_f = -1.479 eV per atom
1.0
-3.400 2.369 0.899
-2.804 -1.510 -6.628
-4.114 -6.062 0.416
Ac P Tm Sm
2 4 1 1
Cartesian
-4.114 -6.062 0.416
-3.757 -1.847 0.657
-5.140 -5.663 -4.519
-5.177 0.460 -0.794
-4.815 -1.501 -4.257
-5.502 -3.703 -1.056
-3.459 -3.786 -3.106
-3.102 0.429 -2.865

[10]
GGA-PBE Ac2SmUP4, optimized geometry; energy = -0.5183 Ry per atom; spin magnetization = 2.09 μB per cell; ΔE_f = -1.319 eV per atom
1.0
4.202 0.000 0.000
0.000 7.281 0.135
0.000 -2.537 6.912
U Sm P Ac
1 1 4 2
Cartesian
0.000 0.000 0.000
2.101 3.640 0.068
2.101 1.134 1.549
2.101 3.609 5.499
0.000 -0.162 5.399
0.000 4.906 1.649
2.101 -1.268 3.456
0.000 2.372 3.524

[11]
GGA-PBE Ac4Sm3UP8, optimized geometry; energy = -0.4944 Ry per atom; spin magnetization = 2.14 μB per cell; ΔE_f = -1.404 eV per atom
1.0
8.484 0.000 0.000
0.000 8.520 0.020
-4.242 -4.238 6.002
Ac P U Sm
4 8 1 3
Cartesian
-2.121 -2.119 3.001
4.242 0.000 0.000
2.121 -2.119 3.001
0.000 0.000 0.000
0.000 0.110 3.076
4.242 0.117 3.161
6.420 2.292 0.079
-2.178 1.990 5.943
4.242 4.172 2.946
2.178 1.990 5.943
2.064 2.292 0.079
0.000 4.166 2.861
0.000 4.260 0.010
4.242 4.260 0.010
-2.121 2.141 3.011
2.121 2.141 3.011

[12]
GGA-PBE AcSmY2P4, optimized geometry; energy = -0.5113 Ry per atom; spin magnetization = 0.00 μB per cell; ΔE_f = -1.532 eV per atom
1.0
4.151 0.000 0.000
0.000 7.187 -0.145
0.000 2.526 6.735
Y P Ac Sm
2 4 1 1
Cartesian
0.000 2.526 6.735
2.075 1.263 3.367
2.075 3.603 4.990
4.151 2.338 1.742
2.075 6.109 1.600
0.000 7.374 4.848
2.075 3.593 -0.072
0.000 4.856 3.295

[13]
GGA-PBE Ac2SmYP4, optimized geometry; energy = -0.4870 Ry per atom; spin magnetization = 0.00 μB per cell; ΔE_f = -1.496 eV per atom
1.0
4.255 0.000 0.000
0.000 7.381 -0.153
0.000 2.590 6.894
Sm P Ac Y
1 4 2 1
Cartesian
2.128 3.690 -0.076
2.128 3.916 5.066
2.128 6.055 1.675
0.000 7.346 5.087
4.255 2.625 1.655
0.000 2.590 6.894
2.128 1.295 3.447
0.000 4.985 3.371

[14]
GGA-PBE Ac2SnP, optimized geometry; energy = -0.3886 Ry per atom; spin magnetization = 0.00 μB per cell; ΔE_f = -0.880 eV per atom
1.0
3.786 0.000 0.000
0.000 3.786 0.000
0.000 0.000 8.412
Ac P Sn
2 1 1
Cartesian
0.000 0.000 6.596
0.000 0.000 1.815
1.893 1.893 0.000
1.893 1.893 4.206

[15]
GGA-PBE Ac2SnP, optimized geometry; energy = -0.3716 Ry per atom; spin magnetization = 0.00 μB per cell; ΔE_f = -0.649 eV per atom
1.0
-2.086 4.632 2.363
-4.917 -0.192 2.679
-0.170 0.465 5.581
Ac P Sn
2 1 1
Cartesian
-1.793 1.226 2.656
-5.379 3.679 7.967
0.000 0.000 0.000
-3.586 2.453 5.311

[16]
GGA-PBE Ac4Sn2P, optimized geometry; energy = -0.3742 Ry per atom; spin magnetization = 0.01 μB per cell; ΔE_f = -0.828 eV per atom
1.0
4.644 0.000 1.406
2.034 6.313 1.655
-0.031 0.099 8.476
Ac Sn P
4 2 1
Cartesian
2.066 1.693 1.548
4.580 4.719 9.988
0.768 1.295 5.836
5.878 5.116 5.701
3.726 2.568 4.435
2.919 3.844 7.101
0.000 0.000 0.000

[17]
GGA-PBE Ac7SnP5, optimized geometry; energy = -0.4312 Ry per atom; spin magnetization = 1.70 μB per cell; ΔE_f = -1.266 eV per atom
1.0
4.469 -0.001 0.000
-2.236 7.332 0.008
0.000 -0.035 26.534
Ac Sn P
14 2 10
Cartesian
-0.001 5.302 25.628
2.234 2.004 0.914
-0.001 2.621 4.566
0.000 1.292 16.044
-0.001 5.316 14.186
-0.002 6.882 6.640
0.000 1.282 23.760
2.234 1.988 12.357
2.234 6.024 2.781
2.234 4.684 21.976
2.235 0.422 19.902
2.234 6.012 10.498
2.234 4.689 17.836
-0.001 2.615 8.706
2.233 4.366 6.639
0.000 2.938 19.904
-0.001 3.994 11.351
-0.001 4.008 1.924
-0.001 6.639 22.759
2.234 0.666 3.783
0.000 -0.030 26.534
0.000 -0.013 13.267
2.234 0.657 9.485
-0.001 6.646 17.058
2.234 3.310 15.191
2.234 3.298 24.618

[18]
GGA-PBE Ac2SnP, optimized geometry; energy = -0.3971 Ry per atom; spin magnetization = 0.00 μB per cell; ΔE_f = -0.995 eV per atom
1.0
4.419 0.000 0.000
2.209 3.827 0.000
2.209 1.276 8.238
Ac P Sn
2 1 1
Cartesian
6.628 3.827 6.455
2.209 1.276 1.784
0.000 0.000 0.000
4.419 2.551 4.119

[19]
GGA-PBE Ac2SnP, optimized geometry; energy = -0.4024 Ry per atom; spin magnetization = 0.00 μB per cell; ΔE_f = -1.067 eV per atom
1.0
4.499 0.000 0.000
0.000 4.620 -0.821
0.000 -0.093 12.894
P Sn Ac
2 2 4
Cartesian
3.374 3.685 7.329
1.125 0.843 4.744
3.374 2.489 0.594
1.125 2.039 11.479
3.374 4.207 10.267
1.125 1.371 7.718
1.125 0.321 1.806
3.374 3.157 4.355

[20]
GGA-PBE Ac4SnP2, optimized geometry; energy = -0.4051 Ry per atom; spin magnetization = 1.77 μB per cell; ΔE_f = -1.046 eV per atom
1.0
4.553 0.000 0.000
-2.276 7.206 0.000
0.000 0.000 15.108
Ac P Sn
8 4 2
Cartesian
2.276 3.891 5.786
2.276 0.000 7.554
2.276 0.000 0.000
0.000 3.315 9.322
0.000 0.870 3.777
0.000 3.315 13.340
2.276 6.336 11.331
2.276 3.891 1.768
2.276 5.246 8.465
0.000 1.960 6.643
0.000 1.960 0.911
2.276 5.246 14.197
0.000 5.632 3.777
2.276 1.574 11.331